# 1
# La2ErTm6 | Alexandria via LeMat-Bulk | PBE | relaxed
data_La2ErTm6
_chemical_formula_sum 'La2 Er1 Tm6'
_cell_length_a 9.7536
_cell_length_b 9.7536
_cell_length_c 3.4590
_cell_angle_alpha 90.00
_cell_angle_beta 90.00
_cell_angle_gamma 120.00
_symmetry_space_group_name_H-M 'P 6/m m m'
_symmetry_Int_Tables_number 191
_symmetry_space_group_name_Hall '-P 6 2'
loop_
_atom_site_label
_atom_site_type_symbol
_atom_site_fract_x
_atom_site_fract_y
_atom_site_fract_z
_atom_site_occupancy
La1 La 0.3333 0.6667 0.0000 1
Er1 Er 0.0000 0.0000 0.0000 1
Tm1 Tm 0.0000 0.3297 0.5000 1
# N(E_F) = 15.389 states/eV/f.u.
# ΔE to the lowest computed polymorph = 6 kJ/mol of formula units
# Crystal system = hexagonal
# Energy of formation = 0.082 eV per atom

***

# 2
# LaEr12Tm5 | Alexandria via LeMat-Bulk | PBE | relaxed
data_LaEr12Tm5
_chemical_formula_sum 'La2 Er24 Tm10'
_cell_length_a 6.1075
_cell_length_b 10.5716
_cell_length_c 17.2149
_cell_angle_alpha 90.00
_cell_angle_beta 96.81
_cell_angle_gamma 90.00
_symmetry_space_group_name_H-M 'C 1 2/m 1'
_symmetry_Int_Tables_number 12
loop_
_symmetry_equiv_pos_as_xyz
'x,y,z'
'-x,-y,-z'
'-x,y,-z'
'x,-y,z'
'x+1/2,y+1/2,z'
'-x+1/2,-y+1/2,-z'
'-x+1/2,y+1/2,-z'
'x+1/2,-y+1/2,z'
loop_
_atom_site_label
_atom_site_type_symbol
_atom_site_fract_x
_atom_site_fract_y
_atom_site_fract_z
_atom_site_occupancy
La1 La 0.0000 0.0000 0.0000 1
Er1 Er 0.1117 0.0000 0.3329 1
Er2 Er 0.1121 0.3334 0.3335 1
Er3 Er 0.2220 0.5000 0.1681 1
Er4 Er 0.2248 0.1675 0.1682 1
Tm1 Tm 0.0000 0.1664 0.5000 1
Tm2 Tm 0.0000 0.3333 0.0000 1
Tm3 Tm 0.0000 0.5000 0.5000 1
# N(E_F) = 25.275 states/eV/f.u.
# Crystal system = monoclinic
# Energy of formation = 0.015 eV per atom

***

# 3
# La2ErTm | Alexandria via LeMat-Bulk | PBE | relaxed
data_La2ErTm
_chemical_formula_sum 'La2 Er1 Tm1'
_cell_length_a 3.7221
_cell_length_b 3.7221
_cell_length_c 9.7202
_cell_angle_alpha 90.00
_cell_angle_beta 90.00
_cell_angle_gamma 90.00
_symmetry_space_group_name_H-M 'P 4/m m m'
_symmetry_Int_Tables_number 123
_symmetry_space_group_name_Hall '-P 4 2'
loop_
_atom_site_label
_atom_site_type_symbol
_atom_site_fract_x
_atom_site_fract_y
_atom_site_fract_z
_atom_site_occupancy
La1 La 0.0000 0.0000 0.2491 1
Er1 Er 0.5000 0.5000 0.5000 1
Tm1 Tm 0.5000 0.5000 0.0000 1
# N(E_F) = 6.168 states/eV/f.u.
# ΔE to the lowest computed polymorph = 4 kJ/mol of formula units
# Crystal system = tetragonal
# Energy of formation = 0.027 eV per atom